(1)
Material: LaAg3Sb3
Method: DFT, PBE
State: optimized geometry

## Properties
* total DFT energy (no corrections): -3.59 eV/atom
* density of states at the Fermi level: 0.60 states/eV/atom
* space group: Pm-3n

a b c (Å): 7.543 7.543 7.543
angles (deg): 90.00 90.00 90.00
Last column: magnetic moment on the atom in μB.
Atoms (fractional coordinates):
La 0.500 0.500 0.500  0.18
La 0.000 0.000 0.000  0.18
Sb 0.500 0.250 0.000  0.00
Sb 0.250 0.000 0.500  0.00
Sb 0.500 0.750 0.000  0.00
Sb 0.000 0.500 0.750  0.00
Sb 0.000 0.500 0.250  0.00
Sb 0.750 0.000 0.500  0.00
Ag 0.750 0.500 0.000  0.00
Ag 0.000 0.750 0.500  0.00
Ag 0.250 0.500 0.000  0.00
Ag 0.500 0.000 0.250  0.00
Ag 0.000 0.250 0.500  0.00
Ag 0.500 0.000 0.750  0.00

***

(2)
Material: La3CeY3Te8
Method: DFT, PBE
State: optimized geometry

## Properties
* total DFT energy (no corrections): -5.82 eV/atom
* density of states at the Fermi level: 1.03 states/eV/atom
* space group: C2/m

a b c (Å): 8.895 8.892 8.952
angles (deg): 119.71 89.99 120.03
Last column: magnetic moment on the atom in μB.
Atoms (fractional coordinates):
La 0.500 0.500 0.000  0.03
La 0.000 0.000 0.000  0.03
La 0.000 0.500 0.000  0.03
Te 0.733 0.990 0.746  -0.01
Te 0.745 0.490 0.735  0.00
Te 0.267 0.010 0.254  -0.01
Te 0.257 0.513 0.746  -0.01
Te 0.743 0.010 0.254  -0.01
Te 0.255 0.510 0.265  0.00
Te 0.257 0.990 0.746  -0.01
Te 0.743 0.487 0.254  -0.01
Ce 0.000 0.000 0.500  1.05
Y 0.500 0.000 0.500  0.01
Y 0.000 0.500 0.500  0.02
Y 0.500 0.500 0.500  0.02

***

(3)
Material: LiMg6Ga2
Method: DFT, PBE
State: optimized geometry

## Properties
* total DFT energy (no corrections): -2.03 eV/atom
* E_form: -0.086 eV per atom
* density of states at the Fermi level: 0.41 states/eV/atom
* space group: C2/m

a b c (Å): 4.450 5.219 9.020
angles (deg): 103.13 90.00 115.23
Atoms (fractional coordinates):
Li 0.000 0.000 0.500
Mg 0.001 0.001 0.175
Mg 0.999 0.999 0.825
Mg 0.333 0.665 0.947
Mg 0.667 0.335 0.053
Mg 0.337 0.673 0.605
Mg 0.663 0.327 0.395
Ga 0.330 0.660 0.278
Ga 0.670 0.340 0.722

***

(4)
Material: Ge2SeN
Method: DFT, PBE
State: optimized geometry

## Properties
* total DFT energy (no corrections): -4.93 eV/atom
* density of states at the Fermi level: 0.41 states/eV/atom
* space group: I-42d

a b c (Å): 6.167 6.167 5.819
angles (deg): 58.00 58.00 90.00
Atoms (fractional coordinates):
Se 0.750 0.250 0.500
Se 0.000 0.000 0.000
Ge 0.547 0.125 0.250
Ge 0.203 0.625 0.250
Ge 0.875 0.797 0.750
Ge 0.375 0.453 0.750
N 0.250 0.750 0.500
N 0.500 0.500 0.000

***

(5)
Material: MgZnGa
Method: DFT, PBE
State: optimized geometry

## Properties
* total DFT energy (no corrections): -2.08 eV/atom
* E_form: -0.114 eV per atom
* density of states at the Fermi level: 0.24 states/eV/atom
* space group: C2/m

a b c (Å): 4.316 5.512 5.497
angles (deg): 72.72 66.89 66.95
Atoms (fractional coordinates):
Zn 0.160 0.799 0.880
Zn 0.840 0.201 0.120
Mg 0.545 0.203 0.707
Mg 0.455 0.797 0.293
Ga 0.164 0.382 0.289
Ga 0.836 0.618 0.711

***

(6)
Material: KYAgCl6
Method: DFT, PBE
State: optimized geometry

## Properties
* total DFT energy (no corrections): -3.95 eV/atom
* density of states at the Fermi level: 0.11 states/eV/atom
* space group: P1

a b c (Å): 6.757 6.762 7.011
angles (deg): 87.99 92.11 64.40
Last column: magnetic moment on the atom in μB.
Atoms (fractional coordinates):
Cl 0.643 0.983 0.251  0.01
Cl 0.997 0.366 0.310  0.12
Cl 0.370 0.617 0.283  0.14
Cl 0.984 0.644 0.748  0.01
Cl 0.366 0.997 0.690  0.12
Cl 0.618 0.370 0.717  0.14
Ag 0.334 0.334 0.500  0.37
K 0.010 0.010 0.000  0.00
Y 0.679 0.679 0.500  0.00

***

(7)
Material: TmLuCuAg
Method: DFT, PBE
State: optimized geometry

## Properties
* total DFT energy (no corrections): -4.28 eV/atom
* E_form: -0.295 eV per atom
* density of states at the Fermi level: 0.61 states/eV/atom
* space group: F-43m

a b c (Å): 4.950 4.950 4.950
angles (deg): 60.00 60.00 60.00
Atoms (fractional coordinates):
Cu 0.250 0.250 0.250
Lu 0.500 0.500 0.500
Tm 0.000 0.000 0.000
Ag 0.750 0.750 0.750

***

(8)
Material: YCdAg2S
Method: DFT, PBE
State: optimized geometry

## Properties
* total DFT energy (no corrections): -3.20 eV/atom
* density of states at the Fermi level: 0.66 states/eV/atom
* space group: P4/mmm

a b c (Å): 5.091 5.036 5.091
angles (deg): 90.00 90.00 90.00
Atoms (fractional coordinates):
S 0.000 0.500 0.000
Y 0.500 0.500 0.500
Cd 0.000 0.000 0.000
Ag 0.000 0.000 0.500
Ag 0.500 0.000 0.000